Cr2CdGe | PBE | optimized geometry

Cell and atoms, written as CIF:
```
data_Cr2CdGe
_chemical_formula_sum 'Cr4 Cd2 Ge2'
_cell_length_a 3.804
_cell_length_b 3.804
_cell_length_c 9.569
_cell_angle_alpha 78.53
_cell_angle_beta 78.53
_cell_angle_gamma 90.00
_space_group_name_H-M_alt 'P 1'
_space_group_IT_number 1
loop_
_space_group_symop_operation_xyz
'x,y,z'
loop_
_atom_site_label
_atom_site_fract_x
_atom_site_fract_y
_atom_site_fract_z
Cr1 0.539 0.125 0.250
Cr2 0.211 0.625 0.250
Cr3 0.375 0.461 0.750
Cr4 0.875 0.789 0.750
Ge1 0.500 0.500 0.000
Ge2 0.250 0.750 0.500
Cd1 0.000 0.000 0.000
Cd2 0.750 0.250 0.500
```

Summary:
energy relative to the elements	299	kJ/mol of formula units
M_tot	0.37	μB/f.u.

***

Rb3Li2UBr9 | PBE | optimized geometry

Cell and atoms, written as CIF:
```
data_Rb3Li2UBr9
_chemical_formula_sum 'Rb3 Li2 U1 Br9'
_cell_length_a 7.848
_cell_length_b 7.848
_cell_length_c 9.905
_cell_angle_alpha 90.00
_cell_angle_beta 90.00
_cell_angle_gamma 120.00
_space_group_name_H-M_alt 'P 1'
_space_group_IT_number 1
loop_
_space_group_symop_operation_xyz
'x,y,z'
loop_
_atom_site_label
_atom_site_fract_x
_atom_site_fract_y
_atom_site_fract_z
Rb1 0.333 0.667 0.719
Rb2 0.000 0.000 0.000
Rb3 0.667 0.333 0.281
Li1 0.333 0.667 0.110
Li2 0.667 0.333 0.890
U1 0.000 0.000 0.500
Br1 0.834 0.166 0.664
Br2 0.834 0.668 0.664
Br3 0.332 0.166 0.664
Br4 0.668 0.834 0.336
Br5 0.166 0.332 0.336
Br6 0.166 0.834 0.336
Br7 0.500 0.000 0.000
Br8 0.000 0.500 0.000
Br9 0.500 0.500 0.000
```

Summary:
M_tot	2.00	μB/f.u.
DFT total energy	-56.34	eV/f.u.

***

Sm5YHo2 | PBE | optimized geometry

Cell and atoms, written as CIF:
```
data_Sm5YHo2
_chemical_formula_sum 'Sm10 Y2 Ho4'
_cell_length_a 5.573
_cell_length_b 6.576
_cell_length_c 16.253
_cell_angle_alpha 90.00
_cell_angle_beta 90.00
_cell_angle_gamma 115.07
_space_group_name_H-M_alt 'P 1'
_space_group_IT_number 1
loop_
_space_group_symop_operation_xyz
'x,y,z'
loop_
_atom_site_label
_atom_site_fract_x
_atom_site_fract_y
_atom_site_fract_z
Sm1 0.925 0.850 0.907
Sm2 0.925 0.850 0.593
Sm3 0.381 0.761 0.449
Sm4 0.381 0.761 0.051
Sm5 0.541 0.082 0.250
Sm6 0.459 0.918 0.750
Sm7 0.619 0.239 0.551
Sm8 0.619 0.239 0.949
Sm9 0.075 0.150 0.093
Sm10 0.075 0.150 0.407
Y1 0.736 0.472 0.750
Y2 0.264 0.528 0.250
Ho1 0.775 0.550 0.369
Ho2 0.775 0.550 0.131
Ho3 0.225 0.450 0.631
Ho4 0.225 0.450 0.869
```

Summary:
polymorph energy (0 for the lowest one)	0	meV per atom
energy relative to the elements	105	kJ/mol of formula units
M_tot	0.00	μB/f.u.

***

ThZn12Pt6 | PBE | optimized geometry

Cell and atoms, written as CIF:
```
data_ThZn12Pt6
_chemical_formula_sum 'Th1 Zn12 Pt6'
_cell_length_a 7.157
_cell_length_b 7.157
_cell_length_c 7.157
_cell_angle_alpha 104.50
_cell_angle_beta 104.50
_cell_angle_gamma 104.50
_space_group_name_H-M_alt 'P 1'
_space_group_IT_number 1
loop_
_space_group_symop_operation_xyz
'x,y,z'
loop_
_atom_site_label
_atom_site_fract_x
_atom_site_fract_y
_atom_site_fract_z
Th1 0.000 0.000 0.000
Zn1 0.891 0.109 0.500
Zn2 0.860 0.604 0.604
Zn3 0.604 0.604 0.860
Zn4 0.396 0.140 0.396
Zn5 0.396 0.396 0.140
Zn6 0.140 0.396 0.396
Zn7 0.109 0.500 0.891
Zn8 0.500 0.891 0.109
Zn9 0.109 0.891 0.500
Zn10 0.891 0.500 0.109
Zn11 0.500 0.109 0.891
Zn12 0.604 0.860 0.604
Pt1 0.711 0.277 0.277
Pt2 0.277 0.277 0.711
Pt3 0.277 0.711 0.277
Pt4 0.723 0.723 0.289
Pt5 0.289 0.723 0.723
Pt6 0.723 0.289 0.723
```

Summary:
energy relative to the elements	-695	kJ/mol of formula units
M_tot	0.00	μB/f.u.

***

Tb2ZnGe | PBE | optimized geometry

Cell and atoms, written as CIF:
```
data_Tb2ZnGe
_chemical_formula_sum 'Tb2 Zn1 Ge1'
_cell_length_a 3.717
_cell_length_b 4.940
_cell_length_c 4.940
_cell_angle_alpha 90.00
_cell_angle_beta 90.00
_cell_angle_gamma 90.00
_space_group_name_H-M_alt 'P 1'
_space_group_IT_number 1
loop_
_space_group_symop_operation_xyz
'x,y,z'
loop_
_atom_site_label
_atom_site_fract_x
_atom_site_fract_y
_atom_site_fract_z
Ge1 0.500 0.000 0.000
Tb1 0.000 0.000 0.500
Tb2 0.000 0.500 0.000
Zn1 0.500 0.500 0.500
```

Summary:
energy relative to the elements	-210	kJ/mol of formula units
M_tot	0.00	μB/f.u.

***

SrV3Hg | PBE | optimized geometry

Cell and atoms, written as CIF:
```
data_SrV3Hg
_chemical_formula_sum 'Sr1 V3 Hg1'
_cell_length_a 4.593
_cell_length_b 4.593
_cell_length_c 4.593
_cell_angle_alpha 90.00
_cell_angle_beta 90.00
_cell_angle_gamma 90.00
_space_group_name_H-M_alt 'P 1'
_space_group_IT_number 1
loop_
_space_group_symop_operation_xyz
'x,y,z'
loop_
_atom_site_label
_atom_site_fract_x
_atom_site_fract_y
_atom_site_fract_z
Sr1 0.000 0.000 0.000
Hg1 0.500 0.500 0.500
V1 0.000 0.500 0.000
V2 0.000 0.000 0.500
V3 0.500 0.000 0.000
```

Summary:
polymorph energy (0 for the lowest one)	1038	meV per atom
energy relative to the elements	1121	kJ/mol of formula units
M_tot	0.00	μB/f.u.

***

InCuPO5 | PBE | optimized geometry

Cell and atoms, written as CIF:
```
data_InCuPO5
_chemical_formula_sum 'In4 Cu4 P4 O20'
_cell_length_a 6.713
_cell_length_b 7.354
_cell_length_c 7.964
_cell_angle_alpha 90.00
_cell_angle_beta 90.00
_cell_angle_gamma 90.00
_space_group_name_H-M_alt 'P 1'
_space_group_IT_number 1
loop_
_space_group_symop_operation_xyz
'x,y,z'
loop_
_atom_site_label
_atom_site_fract_x
_atom_site_fract_y
_atom_site_fract_z
In1 0.250 0.211 0.177
In2 0.750 0.711 0.323
In3 0.750 0.789 0.823
In4 0.250 0.289 0.677
Cu1 0.000 0.000 0.500
Cu2 0.500 0.500 0.000
Cu3 0.000 0.500 0.000
Cu4 0.500 0.000 0.500
P1 0.250 0.640 0.395
P2 0.750 0.140 0.105
P3 0.750 0.360 0.605
P4 0.250 0.860 0.895
O1 0.750 0.050 0.932
O2 0.064 0.768 0.378
O3 0.436 0.768 0.378
O4 0.250 0.993 0.747
O5 0.564 0.232 0.622
O6 0.750 0.007 0.253
O7 0.436 0.732 0.878
O8 0.564 0.268 0.122
O9 0.936 0.268 0.122
O10 0.064 0.732 0.878
O11 0.750 0.875 0.567
O12 0.250 0.375 0.933
O13 0.250 0.125 0.433
O14 0.750 0.450 0.432
O15 0.250 0.507 0.247
O16 0.250 0.950 0.068
O17 0.250 0.550 0.568
O18 0.750 0.625 0.067
O19 0.750 0.493 0.753
O20 0.936 0.232 0.622
```

Summary:
M_tot	1.01	μB/f.u.
DFT total energy	-50.00	eV/f.u.

***

Tb6PrNd3Dy2 | PBE | optimized geometry

Cell and atoms, written as CIF:
```
data_Tb6PrNd3Dy2
_chemical_formula_sum 'Tb6 Pr1 Nd3 Dy2'
_cell_length_a 6.240
_cell_length_b 6.240
_cell_length_c 11.913
_cell_angle_alpha 94.99
_cell_angle_beta 94.99
_cell_angle_gamma 119.98
_space_group_name_H-M_alt 'P 1'
_space_group_IT_number 1
loop_
_space_group_symop_operation_xyz
'x,y,z'
loop_
_atom_site_label
_atom_site_fract_x
_atom_site_fract_y
_atom_site_fract_z
Tb1 0.917 0.583 0.752
Tb2 0.749 0.749 0.248
Tb3 0.083 0.417 0.248
Tb4 0.583 0.917 0.752
Tb5 0.251 0.251 0.752
Tb6 0.417 0.083 0.248
Pr1 0.000 0.000 0.000
Nd1 0.167 0.833 0.500
Nd2 0.833 0.167 0.500
Nd3 0.500 0.500 0.500
Dy1 0.333 0.667 0.000
Dy2 0.667 0.333 0.000
```

Summary:
energy relative to the elements	17	kJ/mol of formula units
M_tot	0.00	μB/f.u.

***

CaH3Pd3 | PBE | optimized geometry

Cell and atoms, written as CIF:
```
data_CaH3Pd3
_chemical_formula_sum 'Ca2 H6 Pd6'
_cell_length_a 5.470
_cell_length_b 5.470
_cell_length_c 5.470
_cell_angle_alpha 90.00
_cell_angle_beta 90.00
_cell_angle_gamma 90.00
_space_group_name_H-M_alt 'P 1'
_space_group_IT_number 1
loop_
_space_group_symop_operation_xyz
'x,y,z'
loop_
_atom_site_label
_atom_site_fract_x
_atom_site_fract_y
_atom_site_fract_z
H1 0.250 0.000 0.500
H2 0.000 0.500 0.250
H3 0.500 0.750 0.000
H4 0.750 0.000 0.500
H5 0.000 0.500 0.750
H6 0.500 0.250 0.000
Ca1 0.500 0.500 0.500
Ca2 0.000 0.000 0.000
Pd1 0.000 0.250 0.500
Pd2 0.000 0.750 0.500
Pd3 0.500 0.000 0.750
Pd4 0.750 0.500 0.000
Pd5 0.500 0.000 0.250
Pd6 0.250 0.500 0.000
```

Summary:
polymorph energy (0 for the lowest one)	0	meV per atom
M_tot	0.00	μB/f.u.

***

Mg2ScBr | PBE | optimized geometry

Cell and atoms, written as CIF:
```
data_Mg2ScBr
_chemical_formula_sum 'Mg2 Sc1 Br1'
_cell_length_a 3.357
_cell_length_b 3.357
_cell_length_c 9.283
_cell_angle_alpha 90.00
_cell_angle_beta 90.00
_cell_angle_gamma 112.42
_space_group_name_H-M_alt 'P 1'
_space_group_IT_number 1
loop_
_space_group_symop_operation_xyz
'x,y,z'
loop_
_atom_site_label
_atom_site_fract_x
_atom_site_fract_y
_atom_site_fract_z
Br1 0.500 0.500 0.750
Mg1 0.000 0.000 0.987
Mg2 0.000 0.000 0.513
Sc1 0.500 0.500 0.250
```

Summary:
polymorph energy (0 for the lowest one)	64	meV per atom
M_tot	0.00	μB/f.u.

***

TlInW | PBE | optimized geometry

Cell and atoms, written as CIF:
```
data_TlInW
_chemical_formula_sum 'Tl1 In1 W1'
_cell_length_a 7.822
_cell_length_b 7.822
_cell_length_c 7.822
_cell_angle_alpha 158.21
_cell_angle_beta 158.21
_cell_angle_gamma 31.00
_space_group_name_H-M_alt 'P 1'
_space_group_IT_number 1
loop_
_space_group_symop_operation_xyz
'x,y,z'
loop_
_atom_site_label
_atom_site_fract_x
_atom_site_fract_y
_atom_site_fract_z
In1 0.018 0.018 0.000
Tl1 0.321 0.321 0.000
W1 0.661 0.661 0.000
```

Summary:
polymorph energy (0 for the lowest one)	78	meV per atom
energy relative to the elements	251	kJ/mol of formula units
M_tot	0.00	μB/f.u.

***

Tb12ErIn3 | PBE | optimized geometry

Cell and atoms, written as CIF:
```
data_Tb12ErIn3
_chemical_formula_sum 'Tb12 Er1 In3'
_cell_length_a 4.875
_cell_length_b 4.875
_cell_length_c 19.827
_cell_angle_alpha 90.00
_cell_angle_beta 90.00
_cell_angle_gamma 90.00
_space_group_name_H-M_alt 'P 1'
_space_group_IT_number 1
loop_
_space_group_symop_operation_xyz
'x,y,z'
loop_
_atom_site_label
_atom_site_fract_x
_atom_site_fract_y
_atom_site_fract_z
Tb1 0.500 0.500 0.000
Tb2 0.500 0.500 0.254
Tb3 0.500 0.500 0.500
Tb4 0.500 0.500 0.746
Tb5 0.500 0.000 0.130
Tb6 0.500 0.000 0.377
Tb7 0.500 0.000 0.623
Tb8 0.500 0.000 0.870
Tb9 0.000 0.500 0.130
Tb10 0.000 0.500 0.377
Tb11 0.000 0.500 0.623
Tb12 0.000 0.500 0.870
Er1 0.000 0.000 0.000
In1 0.000 0.000 0.256
In2 0.000 0.000 0.500
In3 0.000 0.000 0.744
```

Summary:
energy relative to the elements	-300	kJ/mol of formula units
M_tot	0.00	μB/f.u.

***

Please write out number 11 again, unchanged.
TlInW | PBE | optimized geometry

Cell and atoms, written as CIF:
```
data_TlInW
_chemical_formula_sum 'Tl1 In1 W1'
_cell_length_a 7.822
_cell_length_b 7.822
_cell_length_c 7.822
_cell_angle_alpha 158.21
_cell_angle_beta 158.21
_cell_angle_gamma 31.00
_space_group_name_H-M_alt 'P 1'
_space_group_IT_number 1
loop_
_space_group_symop_operation_xyz
'x,y,z'
loop_
_atom_site_label
_atom_site_fract_x
_atom_site_fract_y
_atom_site_fract_z
In1 0.018 0.018 0.000
Tl1 0.321 0.321 0.000
W1 0.661 0.661 0.000
```

Summary:
polymorph energy (0 for the lowest one)	78	meV per atom
energy relative to the elements	251	kJ/mol of formula units
M_tot	0.00	μB/f.u.